Ce2I3Br2: optimized geometry, PBE-GGA.

Calculated total energy (eV per cell): -30.180
ΔE_f (raw) (meV/atom): -1474

Cell: 4.263 7.567 9.744 Å, 113.01 102.63 106.36°
Last column: magnetic moment on the atom in μB.
Atoms (fractional coordinates):
1 Ce 0.022 0.841 0.203  1.29
2 Ce 0.978 0.159 0.797  1.29
3 I 0.500 0.000 0.000  -0.01
4 I 0.180 0.810 0.551  -0.01
5 I 0.820 0.190 0.449  -0.01
6 Br 0.656 0.478 0.835  -0.01
7 Br 0.344 0.522 0.165  -0.01